The following is a DFT calculation (PBE with a Hubbard U) of a geometry-optimized CrHI2O structure.

The value obtained for the energy above the most stable polymorph in this dataset is 0 meV/atom. As for the mass density: 4245 kg/m³. Its total moment is 3.49 μB per formula unit.

Lattice parameters (Å, degrees): 5.933 5.933 3.588 90.00 90.00 90.00
Space group P4/mmm (No. 123)
Symmetry-distinct sites (fractional):
Cr: 0.000 0.000 0.000
H: 0.500 0.500 0.500
I: 0.000 0.500 0.000
O: 0.000 0.000 0.500